# 1
ReRuN2O (PBE, optimized geometry); crystal system = tetragonal; E_tot = -40.14 eV per cell
1.0
3.919 0.000 0.000
0.000 3.919 0.000
0.000 0.000 3.849
N Re Ru O
2 1 1 1
direct
0.000 0.500 0.000
0.500 0.000 0.000
0.000 0.000 0.000
0.500 0.500 0.500
0.000 0.000 0.500

=====

# 2
ReRuN2O (PBE, optimized geometry); crystal system = tetragonal; E_tot = -36.43 eV per cell
1.0
3.837 0.000 0.000
0.000 3.837 0.000
0.000 0.000 3.944
O Re N Ru
1 1 2 1
direct
0.000 0.000 0.500
0.500 0.500 0.500
0.000 0.500 0.000
0.500 0.000 0.000
0.000 0.000 0.000

=====

# 3
Re2RuNO (PBE, optimized geometry); crystal system = tetragonal; E_tot = -35.44 eV per cell
1.0
4.764 0.000 0.000
0.000 3.629 0.000
0.000 0.000 4.764
N Re O Ru
1 2 1 1
direct
0.500 0.500 0.500
0.000 0.000 0.500
0.500 0.000 0.000
0.000 0.500 0.000
0.000 0.000 0.000

=====

# 4
ReS8NO2 (PBE, optimized geometry); crystal system = triclinic; E_tot = -122.86 eV per cell
1.0
7.340 -0.129 0.159
1.509 8.950 -0.602
2.238 -0.076 10.205
N O S Re
2 4 16 2
direct
0.377 0.164 0.952
0.623 0.836 0.048
0.381 0.200 0.604
0.462 0.874 0.402
0.619 0.800 0.396
0.538 0.126 0.598
0.786 0.917 0.036
0.167 0.607 0.627
0.579 0.411 0.320
0.138 0.688 0.037
0.964 0.021 0.733
0.171 0.765 0.210
0.028 0.320 0.202
0.833 0.393 0.373
0.401 0.790 0.784
0.421 0.589 0.680
0.214 0.083 0.964
0.036 0.979 0.267
0.972 0.680 0.798
0.599 0.210 0.216
0.862 0.312 0.963
0.829 0.235 0.790
0.095 0.897 0.882
0.905 0.103 0.118

=====

# 5
ReSbNO2 (PBE, optimized geometry); crystal system = tetragonal; E_tot = -36.19 eV per cell
1.0
-1.888 2.557 -2.393
-3.093 0.058 2.502
1.642 3.047 1.960
O N Re Sb
2 1 1 1
direct
0.500 0.000 0.000
0.000 0.500 0.000
0.000 0.000 0.500
0.000 0.000 0.000
0.500 0.500 0.500

=====

# 6
ReSbNO2 (PBE, optimized geometry); crystal system = tetragonal; E_tot = -31.09 eV per cell
1.0
3.949 0.000 0.000
0.000 3.949 0.000
0.000 0.000 4.257
N O Sb Re
1 2 1 1
direct
0.000 0.000 0.500
0.500 0.000 0.000
0.000 0.500 0.000
0.000 0.000 0.000
0.500 0.500 0.500

=====

# 7
ScReN2O (PBE, optimized geometry); crystal system = tetragonal; E_tot = -43.89 eV per cell
1.0
-3.237 -1.491 1.581
0.959 -3.525 -1.360
1.935 -0.735 3.269
N O Re Sc
2 1 1 1
direct
0.500 0.000 0.000
0.000 0.500 0.000
0.000 0.000 0.500
0.000 0.000 0.000
0.500 0.500 0.500

=====

# 8
ScReN2O (PBE, optimized geometry); crystal system = tetragonal; E_tot = -36.21 eV per cell
1.0
4.119 0.000 0.000
0.000 4.119 0.000
0.000 0.000 3.887
O Sc Re N
1 1 1 2
direct
0.000 0.000 0.500
0.000 0.000 0.000
0.500 0.500 0.500
0.500 0.000 0.000
0.000 0.500 0.000

=====

# 9
ReSe2NO (PBE, optimized geometry); crystal system = tetragonal; E_tot = -28.59 eV per cell
1.0
-1.093 -2.652 -3.965
4.577 0.562 -1.637
1.022 -3.100 1.792
N Se O Re
1 2 1 1
direct
0.000 0.000 0.500
0.000 0.500 0.000
0.500 0.000 0.000
0.500 0.500 0.500
0.000 0.000 0.000

=====

# 10
ReSe2NO (PBE, optimized geometry); crystal system = tetragonal; E_tot = -24.58 eV per cell
1.0
4.232 0.000 0.000
0.000 4.232 0.000
0.000 0.000 3.770
N Re Se O
1 1 2 1
direct
0.000 0.000 0.500
0.500 0.500 0.500
0.000 0.500 0.000
0.500 0.000 0.000
0.000 0.000 0.000

=====

# 11
ReSnNO2 (PBE, optimized geometry); crystal system = tetragonal; E_tot = -31.09 eV per cell
1.0
-2.212 -2.356 2.289
2.694 0.278 2.890
-2.027 3.421 1.561
O Re Sn N
2 1 1 1
direct
0.000 0.500 0.000
0.500 0.000 0.000
0.500 0.500 0.500
0.000 0.000 0.000
0.000 0.000 0.500

=====

# 12
ReSnN2O (PBE, optimized geometry); crystal system = tetragonal; E_tot = -38.48 eV per cell
1.0
3.984 0.000 0.000
0.000 3.984 0.000
0.000 0.000 3.944
Re Sn N O
1 1 2 1
direct
0.000 0.000 0.000
0.500 0.500 0.500
0.000 0.500 0.000
0.500 0.000 0.000
0.000 0.000 0.500

=====

# 13
ReSnN2O (PBE, optimized geometry); crystal system = tetragonal; E_tot = -30.68 eV per cell
1.0
-2.261 -3.155 -1.469
2.013 0.244 -3.621
2.677 -2.532 1.317
O Re N Sn
1 1 2 1
direct
0.000 0.000 0.500
0.500 0.500 0.500
0.000 0.500 0.000
0.500 0.000 0.000
0.000 0.000 0.000

=====

# 14
ReSnNO2 (PBE, optimized geometry); crystal system = tetragonal; E_tot = -37.74 eV per cell
1.0
4.001 0.000 0.000
0.000 3.945 0.000
0.000 0.000 4.001
O Sn Re N
2 1 1 1
direct
0.000 0.000 0.500
0.500 0.000 0.000
0.500 0.500 0.500
0.000 0.000 0.000
0.000 0.500 0.000

=====

# 15
TaReN2O (PBE, optimized geometry); crystal system = tetragonal; E_tot = -44.06 eV per cell
1.0
-1.514 2.733 2.319
-2.519 -2.602 1.422
2.510 -0.933 2.739
Re O Ta N
1 1 1 2
direct
0.000 0.000 0.000
0.000 0.000 0.500
0.500 0.500 0.500
0.500 0.000 0.000
0.000 0.500 0.000

=====

# 16
TaReN2O (PBE, optimized geometry); crystal system = tetragonal; E_tot = -44.04 eV per cell
1.0
4.116 0.000 0.000
0.000 4.116 0.000
0.000 0.000 3.840
N Ta O Re
2 1 1 1
direct
0.000 0.500 0.000
0.500 0.000 0.000
0.000 0.000 0.000
0.000 0.000 0.500
0.500 0.500 0.500

=====

# 17
TiReN2O (PBE, optimized geometry); crystal system = tetragonal; E_tot = -42.80 eV per cell
1.0
3.897 0.000 0.000
0.000 3.897 0.000
0.000 0.000 3.818
Re N Ti O
1 2 1 1
direct
0.000 0.000 0.000
0.000 0.500 0.000
0.500 0.000 0.000
0.500 0.500 0.500
0.000 0.000 0.500

=====

# 18
TiReN2O (PBE, optimized geometry); crystal system = tetragonal; E_tot = -39.99 eV per cell
1.0
3.988 0.000 0.000
0.000 3.988 0.000
0.000 0.000 3.652
Re N O Ti
1 2 1 1
direct
0.500 0.500 0.500
0.500 0.000 0.000
0.000 0.500 0.000
0.000 0.000 0.500
0.000 0.000 0.000

=====

# 19
TlReN2O (PBE, optimized geometry); crystal system = tetragonal; E_tot = -36.31 eV per cell
1.0
-3.083 0.906 -2.350
1.403 -2.466 -2.793
-2.110 -3.019 1.605
Tl N Re O
1 2 1 1
direct
0.500 0.500 0.500
0.500 0.000 0.000
0.000 0.500 0.000
0.000 0.000 0.000
0.000 0.000 0.500

=====

# 20
TlReN2O (PBE, optimized geometry); crystal system = tetragonal; E_tot = -23.29 eV per cell
1.0
3.910 0.000 0.000
0.000 4.307 0.000
0.000 0.000 3.910
N Tl Re O
2 1 1 1
direct
0.000 0.000 0.500
0.500 0.000 0.000
0.000 0.500 0.000
0.500 0.500 0.500
0.000 0.000 0.000

=====

# 21
TlReN2O (PBE, optimized geometry); crystal system = tetragonal; E_tot = -24.37 eV per cell
1.0
4.281 0.000 0.000
0.000 4.281 0.000
0.000 0.000 4.061
Tl N O Re
1 2 1 1
direct
0.000 0.000 0.000
0.500 0.000 0.000
0.000 0.500 0.000
0.000 0.000 0.500
0.500 0.500 0.500

=====

What did we get for raw formation energy? Answer: 0.639; 1.381; 2.403; 0.190; -0.275; 0.744; -0.700; 0.837; 0.821; 1.625; 0.720; -0.084; 1.477; -0.609; 0.370; 0.373; -0.170; 0.391; 0.023; 2.626; 2.412 eV per atom, in the order shown.